A relaxed structure of Tm2MgCd, computed with PBE-GGA.

Computed properties:
Raw total energy in eV/f.u.: -12.17

Lattice parameters (Å, degrees): 5.2563 5.2563 5.2563 60.00 60.00 60.00
Last column: nearest neighbours and their distance in Å.
Sites, in units of the cell vectors:
Tm 0.2500 0.2500 0.2500  4 Cd 3.22, 4 Mg 3.22
Tm 0.7500 0.7500 0.7500  4 Cd 3.22, 4 Mg 3.22
Mg 0.0000 0.0000 0.0000  8 Tm 3.22
Cd 0.5000 0.5000 0.5000  8 Tm 3.22

=====

A relaxed structure of Tm2MgCd2, computed with PBE-GGA.

Computed properties:
Energy above the most stable polymorph in this dataset in meV/atom: 0

Lattice parameters (Å, degrees): 7.9363 7.9363 3.4418 90.00 90.00 144.58
Last column: nearest neighbours and their distance in Å.
Sites, in units of the cell vectors:
Tm 0.1162 0.8838 0.0000  6 Cd 3.20-3.31, 3 Tm 3.44-3.51, 4 Mg 3.45
Tm 0.8838 0.1162 0.0000  6 Cd 3.20-3.31, 3 Tm 3.44-3.51, 4 Mg 3.45
Mg 0.5000 0.5000 0.5000  2 Cd 2.97
Cd 0.3035 0.6965 0.5000  2 Cd 2.91, 1 Mg 2.97, 4 Tm 3.20
Cd 0.6965 0.3035 0.5000  2 Cd 2.91, 1 Mg 2.97, 4 Tm 3.20